VASP calculation (GGA-PBE) on a relaxed structure of Ba4ZnCd3.

Unit cell a=4.2059 b=4.2059 c=17.0260 alpha=90.00 beta=90.00 gamma=90.00
With the nearest neighbours (Å) after each atom.
Positions (direct):
1 Ba 0.0000 0.0000 0.1182  4 Zn 3.59, 4 Cd 3.69
2 Ba 0.0000 0.0000 0.3732  8 Cd 3.67-3.68
3 Ba 0.0000 0.0000 0.6268  8 Cd 3.67-3.68
4 Ba 0.0000 0.0000 0.8818  4 Zn 3.59, 4 Cd 3.69
5 Zn 0.5000 0.5000 0.0000  8 Ba 3.59
6 Cd 0.5000 0.5000 0.2461  8 Ba 3.68-3.69
7 Cd 0.5000 0.5000 0.5000  8 Ba 3.67
8 Cd 0.5000 0.5000 0.7539  8 Ba 3.68-3.69

## Properties
uncorrected energy	-13.93	eV for the cell shown
density of states at the Fermi level	0.860	states/eV/atom
SG	P4/mmm (123)
energy relative to the elements	-27	kJ/mol of atoms



VASP calculation (GGA-PBE) on a relaxed structure of TcPb2S4.

Unit cell a=8.4336 b=8.4336 c=8.4336 alpha=148.79 beta=148.79 gamma=44.73
With the nearest neighbours (Å) after each atom.
Positions (direct):
1 Tc 0.0000 0.0000 0.0000  4 S 2.27
2 Pb 0.3462 0.3462 0.0000  1 S 2.82
3 Pb 0.6538 0.6538 0.0000  1 S 2.82
4 S 0.0000 0.5000 0.5000  2 Tc 2.27
5 S 0.1653 0.1653 0.0000  1 Tc 2.58, 1 Pb 2.82
6 S 0.5000 0.0000 0.5000  2 Tc 2.27
7 S 0.8347 0.8347 0.0000  1 Tc 2.58, 1 Pb 2.82

## Properties
uncorrected energy	-35.92	eV for the cell shown
density of states at the Fermi level	0.433	states/eV/atom
SG	I4/mmm (139)
uncorrected formation energy	-1.6	eV per formula unit



VASP calculation (GGA-PBE) on a relaxed structure of DyAg2AuO4.

Unit cell a=5.3545 b=5.3545 c=5.3545 alpha=111.21 beta=111.21 gamma=106.05
With the nearest neighbours (Å) after each atom.
Positions (direct):
1 Dy 0.0000 0.0000 0.0000  4 O 2.22
2 Ag 0.5000 0.5000 0.0000  4 O 2.40
3 Ag 0.7500 0.2500 0.5000  4 O 2.34
4 Au 0.2500 0.7500 0.5000  4 O 2.06
5 O 0.0541 0.4402 0.0337  1 Au 2.06, 1 Dy 2.22
6 O 0.4066 0.0204 0.9663  1 Au 2.06, 1 Dy 2.22
7 O 0.5598 0.5934 0.6138  1 Au 2.06, 1 Dy 2.22
8 O 0.9796 0.9459 0.3862  1 Au 2.06, 1 Dy 2.22

## Properties
uncorrected energy	-41.56	eV for the cell shown
SG	I-4 (82)
uncorrected formation energy	-8.1	eV per formula unit



VASP calculation (GGA-PBE) on a relaxed structure of Pm4YLu.

Unit cell a=6.6392 b=6.6392 c=6.6392 alpha=60.00 beta=60.00 gamma=60.00
With the nearest neighbours (Å) after each atom.
Positions (direct):
1 Pm 0.1248 0.1248 0.1248  6 Pm 3.31-3.32
2 Pm 0.1248 0.1248 0.6256  6 Pm 3.31-3.32
3 Pm 0.1248 0.6256 0.1248  6 Pm 3.31-3.32
4 Pm 0.6256 0.1248 0.1248  6 Pm 3.31-3.32
5 Y 0.5000 0.5000 0.5000  12 Pm 3.89, 4 Lu 4.07
6 Lu 0.7500 0.7500 0.7500  12 Pm 3.89, 4 Y 4.07

## Properties
uncorrected energy	-28.49	eV for the cell shown
density of states at the Fermi level	1.660	states/eV/atom
SG	F-43m (216)
energy relative to the elements	24	kJ/mol of atoms



VASP calculation (GGA-PBE) on a relaxed structure of K3TiBr6.

Unit cell a=7.6970 b=8.1415 c=13.4446 alpha=90.00 beta=124.21 gamma=90.00
With the nearest neighbours (Å) after each atom.
Positions (direct):
1 K 0.0000 0.0000 0.0000  6 Br 3.25-3.29
2 K 0.0000 0.5000 0.5000  6 Br 3.25-3.29
3 K 0.2821 0.0801 0.7535  6 Br 3.34-3.54
4 K 0.2821 0.4199 0.2535  6 Br 3.34-3.54
5 K 0.7179 0.5801 0.7465  6 Br 3.34-3.54
6 K 0.7179 0.9199 0.2465  6 Br 3.34-3.54
7 Ti 0.5000 0.0000 0.5000  6 Br 2.61-2.62
8 Ti 0.5000 0.5000 0.0000  6 Br 2.61-2.62
9 Br 0.1670 0.0346 0.2815  1 Ti 2.61
10 Br 0.1670 0.4654 0.7815  1 Ti 2.61
11 Br 0.2803 0.6703 0.0564  1 Ti 2.61
12 Br 0.2803 0.8297 0.5564  1 Ti 2.61
13 Br 0.4021 0.2284 0.0625  1 Ti 2.62
14 Br 0.4021 0.2716 0.5625  1 Ti 2.62
15 Br 0.5979 0.7284 0.4375  1 Ti 2.62
16 Br 0.5979 0.7716 0.9375  1 Ti 2.62
17 Br 0.7197 0.1703 0.4436  1 Ti 2.61
18 Br 0.7197 0.3297 0.9436  1 Ti 2.61
19 Br 0.8330 0.5346 0.2185  1 Ti 2.61
20 Br 0.8330 0.9654 0.7185  1 Ti 2.61

## Properties
uncorrected energy	-72.83	eV for the cell shown
density of states at the Fermi level	0.671	states/eV/atom
SG	P2_1/c (14)
uncorrected formation energy	-15.2	eV per formula unit



VASP calculation (GGA-PBE) on a relaxed structure of Dy4HoZr.

Unit cell a=6.0276 b=6.9224 c=9.1926 alpha=79.03 beta=77.12 gamma=73.34
With the nearest neighbours (Å) after each atom.
Positions (direct):
1 Dy 0.0043 0.4190 0.3192  2 Zr 3.37, 7 Dy 3.40-3.69, 3 Ho 3.52-3.54
2 Dy 0.0041 0.9187 0.3196  2 Zr 3.36, 7 Dy 3.39-3.69, 3 Ho 3.52-3.54
3 Dy 0.4856 0.4182 0.8401  7 Dy 3.39-3.50, 3 Zr 3.39-3.53, 2 Ho 3.51
4 Dy 0.4856 0.9185 0.8398  3 Zr 3.38-3.53, 7 Dy 3.39-3.50, 2 Ho 3.51
5 Dy 0.5144 0.0815 0.1602  3 Zr 3.38-3.53, 7 Dy 3.39-3.50, 2 Ho 3.51
6 Dy 0.5144 0.5818 0.1599  7 Dy 3.39-3.50, 3 Zr 3.39-3.53, 2 Ho 3.51
7 Dy 0.9959 0.0813 0.6804  2 Zr 3.36, 7 Dy 3.39-3.69, 3 Ho 3.52-3.54
8 Dy 0.9957 0.5810 0.6808  2 Zr 3.37, 7 Dy 3.40-3.69, 3 Ho 3.52-3.54
9 Ho 0.4998 0.2502 0.4999  2 Ho 3.46, 10 Dy 3.51-3.54
10 Ho 0.5002 0.7498 0.5001  2 Ho 3.46, 10 Dy 3.51-3.54
11 Zr 0.9998 0.2484 0.9999  10 Dy 3.36-3.53, 2 Zr 3.44-3.48
12 Zr 0.0002 0.7516 0.0001  10 Dy 3.36-3.53, 2 Zr 3.44-3.48

## Properties
uncorrected energy	-62.33	eV for the cell shown
density of states at the Fermi level	1.236	states/eV/atom
SG	P-1 (2)
energy relative to the elements	6	kJ/mol of atoms



VASP calculation (GGA-PBE) on a relaxed structure of Nd5AsS5.

Unit cell a=7.1131 b=7.1131 c=8.2366 alpha=106.81 beta=106.81 gamma=48.13
With the nearest neighbours (Å) after each atom.
Positions (direct):
1 Nd 0.0000 0.0000 0.0000  2 As 2.90, 4 S 2.91-2.93
2 Nd 0.3336 0.3336 0.6613  5 S 2.87-2.93, 1 As 2.94
3 Nd 0.3386 0.3386 0.1768  5 S 2.82-2.91, 1 As 2.91
4 Nd 0.6614 0.6614 0.8232  5 S 2.82-2.91, 1 As 2.91
5 Nd 0.6664 0.6664 0.3387  5 S 2.87-2.93, 1 As 2.94
6 As 0.5000 0.5000 0.0000  6 Nd 2.90-2.94
7 S 0.1688 0.1688 0.3310  5 Nd 2.87-2.91
8 S 0.1728 0.1728 0.8426  5 Nd 2.91-2.93
9 S 0.5000 0.5000 0.5000  4 Nd 2.82-2.87
10 S 0.8272 0.8272 0.1574  5 Nd 2.91-2.93
11 S 0.8312 0.8312 0.6690  5 Nd 2.87-2.91

## Properties
uncorrected energy	-70.54	eV for the cell shown
density of states at the Fermi level	0.305	states/eV/atom
SG	C2/m (12)
uncorrected formation energy	-21.4	eV per formula unit



VASP calculation (GGA-PBE) on a relaxed structure of Na2Si4IrPt3.

Unit cell a=4.0639 b=4.0639 c=10.2797 alpha=90.00 beta=90.00 gamma=90.00
With the nearest neighbours (Å) after each atom.
Positions (direct):
1 Na 0.0000 0.5000 0.2492  8 Si 3.12-3.28, 6 Pt 3.12-3.27, 2 Ir 3.27
2 Na 0.5000 0.0000 0.7508  8 Si 3.12-3.28, 6 Pt 3.12-3.27, 2 Ir 3.27
3 Si 0.0000 0.0000 0.5000  4 Pt 2.44
4 Si 0.0000 0.5000 0.8690  2 Ir 2.44, 3 Pt 2.44
5 Si 0.5000 0.0000 0.1310  2 Ir 2.44, 3 Pt 2.44
6 Si 0.5000 0.5000 0.5000  4 Pt 2.44
7 Ir 0.5000 0.5000 0.0000  4 Si 2.44
8 Pt 0.0000 0.0000 0.0000  4 Si 2.44
9 Pt 0.0000 0.5000 0.6315  5 Si 2.44
10 Pt 0.5000 0.0000 0.3685  5 Si 2.44

## Properties
uncorrected energy	-57.71	eV for the cell shown
density of states at the Fermi level	0.347	states/eV/atom
SG	P-4m2 (115)
uncorrected formation energy	-6.4	eV per formula unit



VASP calculation (GGA-PBE) on a relaxed structure of K4InSb.

Unit cell a=7.1104 b=7.1104 c=7.1104 alpha=60.00 beta=60.00 gamma=60.00
With the nearest neighbours (Å) after each atom.
Positions (direct):
1 K 0.1237 0.1237 0.1237  6 K 3.52-3.59
2 K 0.1237 0.1237 0.6290  6 K 3.52-3.59
3 K 0.1237 0.6290 0.1237  6 K 3.52-3.59
4 K 0.6290 0.1237 0.1237  6 K 3.52-3.59
5 In 0.5000 0.5000 0.5000  12 K 4.17, 4 Sb 4.35
6 Sb 0.7500 0.7500 0.7500  12 K 4.16, 4 In 4.35

## Properties
uncorrected energy	-10.17	eV for the cell shown
density of states at the Fermi level	0.397	states/eV/atom
SG	F-43m (216)
uncorrected formation energy	1.1	eV per formula unit



VASP calculation (GGA-PBE) on a relaxed structure of DyTmSc6.

Unit cell a=6.6556 b=6.6556 c=4.6862 alpha=90.00 beta=90.00 gamma=90.06
With the nearest neighbours (Å) after each atom.
Positions (direct):
1 Dy 0.0000 0.0000 0.0000  12 Sc 3.32-3.33
2 Tm 0.5000 0.5000 0.0000  12 Sc 3.32-3.33
3 Sc 0.0000 0.5000 0.0000  8 Sc 3.32, 2 Dy 3.33, 2 Tm 3.33
4 Sc 0.2505 0.7495 0.5000  2 Tm 3.32, 8 Sc 3.32-3.34, 2 Dy 3.32
5 Sc 0.2507 0.2507 0.5000  2 Tm 3.32, 8 Sc 3.32-3.34, 2 Dy 3.32
6 Sc 0.5000 0.0000 0.0000  8 Sc 3.32, 2 Dy 3.33, 2 Tm 3.33
7 Sc 0.7493 0.7493 0.5000  2 Tm 3.32, 8 Sc 3.32-3.34, 2 Dy 3.32
8 Sc 0.7495 0.2505 0.5000  2 Tm 3.32, 8 Sc 3.32-3.34, 2 Dy 3.32

## Properties
uncorrected energy	-46.61	eV for the cell shown
density of states at the Fermi level	1.913	states/eV/atom
SG	Cmmm (65)
energy relative to the elements	5	kJ/mol of atoms



VASP calculation (GGA-PBE) on a relaxed structure of Y2HgCl.

Unit cell a=3.5352 b=3.5352 c=9.4447 alpha=90.00 beta=90.00 gamma=116.13
With the nearest neighbours (Å) after each atom.
Positions (direct):
1 Y 0.0000 0.0000 0.2426  2 Cl 2.96, 2 Hg 3.07
2 Y 0.0000 0.0000 0.7574  2 Cl 2.96, 2 Hg 3.07
3 Hg 0.5000 0.5000 0.5000  4 Y 3.07
4 Cl 0.5000 0.5000 0.0000  4 Y 2.96

## Properties
uncorrected energy	-17.79	eV for the cell shown
density of states at the Fermi level	0.788	states/eV/atom
SG	Cmmm (65)
uncorrected formation energy	-2.7	eV per formula unit



VASP calculation (GGA-PBE) on a relaxed structure of LaTiAl.

Unit cell a=5.5934 b=5.5934 c=3.1925 alpha=90.45 beta=90.45 gamma=44.37
With the nearest neighbours (Å) after each atom.
Positions (direct):
1 La 0.0000 0.0000 0.0000  3 Ti 2.86-3.13, 2 La 3.19
2 Ti 0.7236 0.7236 0.9945  4 Al 2.76, 1 La 2.86
3 Al 0.2982 0.2982 0.4969  4 Ti 2.76

## Properties
uncorrected energy	-16.51	eV for the cell shown
density of states at the Fermi level	1.019	states/eV/atom
SG	Cm (8)
energy relative to the elements	2	kJ/mol of atoms